Here is a relaxed structure of Cs2GaPtI6 from Alexandria via LeMat-Bulk. Energies are from PBE-GGA.

Output
formation energy from raw total energies	-72.42	kJ/mol of atoms
crystal system	tetragonal
V	402	Å³ per cell
symmetry	No. 139
M_tot	0.000	μB/atom

Cell lengths 8.2885, 8.2885, 8.2772 Å; angles 59.95, 59.95, 90.00 degrees
Last column: nearest neighbours and their distance in Å.
Element x y z (fractional)
Pt  0.0000  0.0000  0.0000  6 I 2.76-2.87
I  0.2353  0.2353  0.0000  1 Pt 2.76
I  0.2353  0.7647  0.0000  1 Pt 2.76
Cs  0.2500  0.7500  0.5000  12 I 4.14
Cs  0.7500  0.2500  0.5000  12 I 4.14
I  0.7647  0.2353  0.0000  1 Pt 2.76
I  0.2453  0.2453  0.5093  1 Pt 2.87, 1 Ga 2.98
I  0.7647  0.7647  0.0000  1 Pt 2.76
I  0.7547  0.7547  0.4907  1 Pt 2.87, 1 Ga 2.98
Ga  0.5000  0.5000  0.0000  6 I 2.98-3.10